A plane-wave DFT calculation with PBE was carried out for a relaxed structure of Li2SmGaSn2.

Cell and atoms, written as POSCAR:
```
Li2SmGaSn2
1.0
4.461 0.000 0.000
0.000 8.530 0.000
0.000 0.000 7.410
Li Sm Ga Sn
4 2 2 4
Cartesian
0.000 0.709 0.000
0.000 7.821 3.705
2.231 1.294 2.437
2.231 7.236 6.142
2.231 3.864 7.285
2.231 4.666 3.580
0.000 2.891 4.910
0.000 5.639 1.206
0.000 2.886 1.990
0.000 5.645 5.695
2.231 1.331 5.306
2.231 7.200 1.601
```

- calculated density (g/cm3) = 5.6
- energy of formation (eV/atom) = -0.456